## Ni3TeRu (GGA-PBE)

Data for a geometry-optimized Ni3TeRu structure.

The space group is Pm-3m (No. 221) and the conventional cell measures 4.511, 4.511 and 4.511 Å, with angles of 90.00, 90.00 and 90.00 degrees. The distinct sites, in fractional coordinates, are Ni at (0.000, 0.000, 0.500), Te at (0.500, 0.500, 0.500) and Ru at (0.000, 0.000, 0.000).

The value obtained for the polymorph energy (0 for the lowest one) is 0.0000 eV per atom. As for the formation energy (no corrections): 5.64 eV/f.u. For the total energy, the calculation gives -24.12 eV per cell. The total magnetic moment is 1.63 Bohr magnetons per cell.

## NiTe3Ru (GGA-PBE)

Data for a geometry-optimized NiTe3Ru structure.

The space group is Pm-3m (No. 221) and the conventional cell measures 4.892, 4.892 and 4.892 Å, with angles of 90.00, 90.00 and 90.00 degrees. The distinct sites, in fractional coordinates, are Ni at (0.000, 0.000, 0.000), Te at (0.000, 0.000, 0.500) and Ru at (0.500, 0.500, 0.500).

The value obtained for the polymorph energy (0 for the lowest one) is 0.0000 eV per atom. As for the formation energy (no corrections): 4.49 eV/f.u. For the total energy, the calculation gives -19.99 eV per cell. The total magnetic moment is 0.00 Bohr magnetons per cell.

## Ni2TeRu (GGA-PBE)

Data for a geometry-optimized Ni2TeRu structure.

The space group is I-42d (No. 122) and the conventional cell measures 3.749, 3.749 and 17.786 Å, with angles of 90.00, 90.00 and 90.00 degrees. The distinct sites, in fractional coordinates, are Ni at (0.236, 0.250, 0.125), Te at (0.000, 0.000, 0.500) and Ru at (0.000, 0.000, 0.000).

As for the formation energy (no corrections): 1.72 eV/f.u. For the total energy, the calculation gives -89.05 eV per cell. The total magnetic moment is 0.00 Bohr magnetons per cell.